[1]
The following is a PBE calculation of a relaxed Li4MgGaPd2 crystal, from the Open Quantum Materials Database.

Lattice parameters (Å, degrees): 4.369 4.369 6.195 90.00 90.00 90.00
Space group P-4m2 (No. 115)
Unique sites:
Li: 0.000 0.000 0.000 [1 per cell]
Li: 0.000 0.500 0.737 [2 per cell]
Li: 0.500 0.500 0.500 [1 per cell]
Mg: 0.500 0.500 0.000 [1 per cell]
Ga: 0.000 0.000 0.500 [1 per cell]
Pd: 0.000 0.500 0.266 [2 per cell]

Results
calculated total energy = -3.292 eV/atom
ρ = 4.7 g/cm3

[2]
The following is a PBE calculation of a relaxed Li2Mg2GaSiPd2 crystal, from the Open Quantum Materials Database.

Lattice parameters (Å, degrees): 4.382 4.382 6.194 90.00 90.00 90.00
Space group P-4m2 (No. 115)
Unique sites:
Li: 0.000 0.500 0.245 [2 per cell]
Mg: 0.000 0.000 0.000 [1 per cell]
Mg: 0.500 0.500 0.500 [1 per cell]
Ga: 0.000 0.000 0.500 [1 per cell]
Si: 0.500 0.500 0.000 [1 per cell]
Pd: 0.000 0.500 0.761 [2 per cell]

Results
calculated total energy = -3.756 eV/atom
ρ = 5.2 g/cm3

[3]
The following is a PBE calculation of a relaxed Li2Mg2GaSnPd2 crystal, from the Open Quantum Materials Database.

Lattice parameters (Å, degrees): 4.504 4.504 6.410 90.00 90.00 90.00
Space group P-4m2 (No. 115)
Unique sites:
Li: 0.000 0.500 0.234 [2 per cell]
Mg: 0.000 0.000 0.000 [1 per cell]
Mg: 0.500 0.500 0.500 [1 per cell]
Ga: 0.500 0.500 0.000 [1 per cell]
Sn: 0.000 0.000 0.500 [1 per cell]
Pd: 0.000 0.500 0.763 [2 per cell]

Results
calculated total energy = -3.612 eV/atom
ρ = 5.9 g/cm3

[4]
The following is a PBE calculation of a relaxed Li2Mg2TlGaPd2 crystal, from the Open Quantum Materials Database.

Lattice parameters (Å, degrees): 4.522 4.522 6.493 90.00 90.00 90.00
Space group P-4m2 (No. 115)
Unique sites:
Li: 0.000 0.500 0.234 [2 per cell]
Mg: 0.000 0.000 0.000 [1 per cell]
Mg: 0.500 0.500 0.500 [1 per cell]
Tl: 0.000 0.000 0.500 [1 per cell]
Ga: 0.500 0.500 0.000 [1 per cell]
Pd: 0.000 0.500 0.775 [2 per cell]

Results
calculated total energy = -3.316 eV/atom
ρ = 6.9 g/cm3

[5]
The following is a PBE calculation of a relaxed Li2MgZrGa2Pd2 crystal, from the Open Quantum Materials Database.

Lattice parameters (Å, degrees): 4.462 4.462 6.341 90.00 90.00 90.00
Space group P-4m2 (No. 115)
Unique sites:
Li: 0.000 0.500 0.228 [2 per cell]
Mg: 0.500 0.500 0.000 [1 per cell]
Zr: 0.000 0.000 0.500 [1 per cell]
Ga: 0.000 0.000 0.000 [1 per cell]
Ga: 0.500 0.500 0.500 [1 per cell]
Pd: 0.000 0.500 0.747 [2 per cell]

Results
magnetization = 0.01 μB per cell
calculated total energy = -4.350 eV/atom
ρ = 6.3 g/cm3

[6]
The following is a PBE calculation of a relaxed LiMgGa2Pt4 crystal, from the Open Quantum Materials Database.

Lattice parameters (Å, degrees): 4.359 4.359 6.170 90.00 90.00 90.00
Space group P4/mmm (No. 123)
Unique sites:
Li: 0.000 0.000 0.000 [1 per cell]
Mg: 0.500 0.500 0.500 [1 per cell]
Ga: 0.000 0.000 0.500 [1 per cell]
Ga: 0.500 0.500 0.000 [1 per cell]
Pt: 0.000 0.500 0.244 [4 per cell]

Results
magnetization = 0.01 μB per cell
calculated total energy = -4.929 eV/atom
ρ = 13.5 g/cm3

[7]
The following is a PBE calculation of a relaxed Li4MgGa2Pt crystal, from the Open Quantum Materials Database.

Lattice parameters (Å, degrees): 4.400 4.400 6.300 90.00 90.00 90.00
Space group P-4m2 (No. 115)
Unique sites:
Li: 0.000 0.000 0.000 [1 per cell]
Li: 0.000 0.500 0.726 [2 per cell]
Li: 0.500 0.500 0.500 [1 per cell]
Mg: 0.500 0.500 0.000 [1 per cell]
Ga: 0.000 0.500 0.276 [2 per cell]
Pt: 0.000 0.000 0.500 [1 per cell]

Results
magnetization = 0.00 μB per cell
calculated total energy = -3.087 eV/atom
ρ = 5.3 g/cm3

[8]
The following is a PBE calculation of a relaxed Li4MgGaPt2 crystal, from the Open Quantum Materials Database.

Lattice parameters (Å, degrees): 4.342 4.342 6.155 90.00 90.00 90.00
Space group P-4m2 (No. 115)
Unique sites:
Li: 0.000 0.000 0.000 [1 per cell]
Li: 0.000 0.500 0.738 [2 per cell]
Li: 0.500 0.500 0.500 [1 per cell]
Mg: 0.500 0.500 0.000 [1 per cell]
Ga: 0.000 0.000 0.500 [1 per cell]
Pt: 0.000 0.500 0.266 [2 per cell]

Results
magnetization = 0.01 μB per cell
calculated total energy = -3.645 eV/atom
ρ = 7.3 g/cm3

[9]
The following is a PBE calculation of a relaxed Li4Mg2GaPt crystal, from the Open Quantum Materials Database.

Lattice parameters (Å, degrees): 4.501 4.501 6.378 90.00 90.00 90.00
Space group P-4m2 (No. 115)
Unique sites:
Li: 0.000 0.000 0.000 [1 per cell]
Li: 0.000 0.500 0.243 [2 per cell]
Li: 0.500 0.500 0.500 [1 per cell]
Mg: 0.000 0.500 0.766 [2 per cell]
Ga: 0.000 0.000 0.500 [1 per cell]
Pt: 0.500 0.500 0.000 [1 per cell]

Results
magnetization = 0.01 μB per cell
calculated total energy = -2.847 eV/atom
ρ = 4.4 g/cm3

[10]
The following is a PBE calculation of a relaxed Li2Mg3GaPt2 crystal, from the Open Quantum Materials Database.

Lattice parameters (Å, degrees): 4.466 4.466 6.334 90.00 90.00 90.00
Space group P-4m2 (No. 115)
Unique sites:
Li: 0.000 0.500 0.240 [2 per cell]
Mg: 0.000 0.000 0.500 [1 per cell]
Mg: 0.500 0.500 0.000 [1 per cell]
Mg: 0.500 0.500 0.500 [1 per cell]
Ga: 0.000 0.000 0.000 [1 per cell]
Pt: 0.000 0.500 0.762 [2 per cell]

Results
magnetization = 0.00 μB per cell
calculated total energy = -3.615 eV/atom
ρ = 7.2 g/cm3

[11]
The following is a PBE calculation of a relaxed Li2MgScGa2Pt2 crystal, from the Open Quantum Materials Database.

Lattice parameters (Å, degrees): 4.444 4.444 6.301 90.00 90.00 90.00
Space group P-4m2 (No. 115)
Unique sites:
Li: 0.000 0.500 0.233 [2 per cell]
Mg: 0.000 0.000 0.000 [1 per cell]
Sc: 0.500 0.500 0.500 [1 per cell]
Ga: 0.000 0.000 0.500 [1 per cell]
Ga: 0.500 0.500 0.000 [1 per cell]
Pt: 0.000 0.500 0.749 [2 per cell]

Results
magnetization = 0.00 μB per cell
calculated total energy = -4.494 eV/atom
ρ = 8.2 g/cm3

[12]
The following is a PBE calculation of a relaxed Li2Mg2GaSnPt2 crystal, from the Open Quantum Materials Database.

Lattice parameters (Å, degrees): 4.485 4.485 6.404 90.00 90.00 90.00
Space group P-4m2 (No. 115)
Unique sites:
Li: 0.000 0.500 0.230 [2 per cell]
Mg: 0.000 0.000 0.000 [1 per cell]
Mg: 0.500 0.500 0.500 [1 per cell]
Ga: 0.500 0.500 0.000 [1 per cell]
Sn: 0.000 0.000 0.500 [1 per cell]
Pt: 0.000 0.500 0.762 [2 per cell]

Results
magnetization = 0.00 μB per cell
calculated total energy = -3.933 eV/atom
ρ = 8.3 g/cm3